{
  "formula": "PmTmGaAu",
  "functional": "PBE",
  "state": "optimized geometry",
  "cell": [[-0.089, -4.054, -3.157], [4.140, -3.015, -0.428], [-0.077, -4.761, 1.933]],
  "species": ["Pm", "Au", "Ga", "Tm"],
  "fractional_positions": [[0.000, 0.000, 0.000], [0.750, 0.750, 0.750], [0.250, 0.250, 0.250], [0.500, 0.500, 0.500]],
  "final_energy_ev_per_atom": -4.55,
  "formation_energy_mev_per_atom": -666,
  "polymorph_energy_mev_per_atom": 23
}